Compound: InGe2Se
Source: the Alexandria database
Functional: GGA-PBE
Structure: optimized geometry

The structure in extended XYZ format:
```
16
Lattice="6.059 0.000 0.000 0.000 6.059 0.000 0.000 0.000 12.916" Properties=species:S:1:pos:R:3 pbc="T T T"
In 0.000 0.000 0.000
In 0.000 3.030 3.229
In 3.030 0.000 9.687
In 3.030 3.030 6.458
Ge 1.465 1.515 8.072
Ge 1.515 4.495 11.301
Ge 1.515 4.594 4.843
Ge 1.565 1.515 1.614
Ge 4.495 4.545 1.614
Ge 4.545 1.465 4.843
Ge 4.545 1.565 11.301
Ge 4.594 4.545 8.072
Se 0.000 0.000 6.458
Se 0.000 3.030 9.687
Se 3.030 0.000 3.229
Se 3.030 3.030 0.000
```

The density of states at the Fermi level comes out at 0.66 states/eV/atom. As for the uncorrected formation energy: 16.9 kJ/mol of atoms. The energy above the lowest structure with this stoichiometry comes out at 0.000 eV/atom.